Below is a relaxed Th6InOs2Se3 crystal, with properties calculated at the PBE level.

Output
- symmetry = C2/m, No. 12
- VASP energy (eV/atom) = -7.60
- M_tot (μB per cell) = 0.0

Cell: 9.689 9.689 8.892 Å, 105.32 105.32 24.89°
Sites, in units of the cell vectors:
Th 0.015 0.015 0.270
Th 0.324 0.324 0.432
Th 0.328 0.328 0.880
Th 0.672 0.672 0.120
Th 0.676 0.676 0.568
Th 0.985 0.985 0.730
In 0.500 0.500 0.000
Os 0.169 0.169 0.339
Os 0.831 0.831 0.661
Se 0.159 0.159 0.839
Se 0.500 0.500 0.500
Se 0.841 0.841 0.161

***

Below is a relaxed Hf2InHRh crystal, with properties calculated at the PBE level.

Output
- symmetry = P4/mmm, No. 123
- E above lowest polymorph (eV per atom) = 1.2274
- M_tot (μB per cell) = 0.0

Cell: 5.426 5.426 3.442 Å, 90.00 90.00 90.00°
Sites, in units of the cell vectors:
Hf 0.000 0.500 0.000
Hf 0.500 0.000 0.000
In 0.000 0.000 0.000
H 0.000 0.000 0.500
Rh 0.500 0.500 0.500

***

Below is a relaxed Zr2MnCl crystal, with properties calculated at the PBE level.

Output
- symmetry = Cmmm, No. 65
- E above lowest polymorph (eV per atom) = 0.4771
- M_tot (μB per cell) = 2.5

Cell: 4.940 4.940 3.065 Å, 90.00 90.00 100.17°
Sites, in units of the cell vectors:
Zr 0.000 0.500 0.000
Zr 0.500 0.000 0.000
Mn 0.000 0.000 0.500
Cl 0.500 0.500 0.500

***

Below is a relaxed Li2CuPO4 crystal, with properties calculated at the PBE level.

Output
- symmetry = Pm, No. 6
- E above lowest polymorph (eV per atom) = 0.0000
- M_tot (μB per cell) = 0.0

Cell: 5.136 6.203 10.854 Å, 90.00 90.72 90.00°
Sites, in units of the cell vectors:
Li 0.000 0.000 0.000
Li 0.003 0.249 0.231
Li 0.003 0.751 0.231
Li 0.109 0.000 0.497
Li 0.504 0.256 0.412
Li 0.504 0.744 0.412
Li 0.600 0.253 0.913
Li 0.600 0.747 0.913
Cu 0.054 0.304 0.741
Cu 0.054 0.696 0.741
Cu 0.554 0.500 0.183
Cu 0.585 0.500 0.693
P 0.011 0.500 0.467
P 0.111 0.500 0.988
P 0.494 0.000 0.159
P 0.614 0.000 0.658
O 0.031 0.500 0.124
O 0.109 0.292 0.401
O 0.109 0.708 0.401
O 0.139 0.500 0.599
O 0.191 0.000 0.159
O 0.413 0.500 0.978
O 0.497 0.000 0.526
O 0.520 0.199 0.734
O 0.520 0.801 0.734
O 0.599 0.000 0.026
O 0.601 0.200 0.232
O 0.601 0.800 0.232
O 0.710 0.500 0.473
O 0.918 0.000 0.653
O 0.997 0.291 0.924
O 0.997 0.709 0.924

***

Below is a relaxed Nd2YHo3S6 crystal, with properties calculated at the PBE level.

Output
- symmetry = C2/m, No. 12
- VASP energy (eV/atom) = -6.54
- M_tot (μB per cell) = 0.0

Cell: 8.848 8.848 7.970 Å, 103.62 103.62 25.65°
Sites, in units of the cell vectors:
Nd 0.168 0.168 0.335
Nd 0.832 0.832 0.665
Y 0.500 0.500 0.000
Ho 0.169 0.169 0.833
Ho 0.500 0.500 0.500
Ho 0.831 0.831 0.167
S 0.004 0.004 0.750
S 0.334 0.334 0.929
S 0.338 0.338 0.407
S 0.662 0.662 0.593
S 0.666 0.666 0.071
S 0.996 0.996 0.250

***

Below is a relaxed Ce3SbC crystal, with properties calculated at the PBE level.

Output
- symmetry = Pm-3m, No. 221
- VASP energy (eV/atom) = -6.81
- M_tot (μB per cell) = 2.0

Cell: 4.944 4.944 4.944 Å, 90.00 90.00 90.00°
Sites, in units of the cell vectors:
Ce 0.000 0.000 0.500
Ce 0.000 0.500 0.000
Ce 0.500 0.000 0.000
Sb 0.500 0.500 0.500
C 0.000 0.000 0.000

***

Below is a relaxed LiMgAg5 crystal, with properties calculated at the PBE level.

Output
- symmetry = Cmmm, No. 65
- E_form (eV per atom) = -0.052
- M_tot (μB per cell) = 0.0

Cell: 5.022 5.022 5.786 Å, 90.00 90.00 112.02°
Sites, in units of the cell vectors:
Li 0.000 0.000 0.000
Mg 0.500 0.500 0.500
Ag 0.000 0.500 0.253
Ag 0.000 0.500 0.747
Ag 0.500 0.000 0.253
Ag 0.500 0.000 0.747
Ag 0.500 0.500 0.000

***

Below is a relaxed AcBIr2 crystal, with properties calculated at the PBE level.

Output
- symmetry = R-3m, No. 166
- E_form (eV per atom) = -0.147
- E above lowest polymorph (eV per atom) = 0.2599
- M_tot (μB per cell) = 0.0

Cell: 6.062 6.062 6.062 Å, 37.93 37.93 37.93°
Sites, in units of the cell vectors:
Ac 0.000 0.000 0.000
B 0.500 0.500 0.500
Ir 0.204 0.204 0.204
Ir 0.796 0.796 0.796

***

Question: What is the M_tot in the fourth record?
Answer: 0.0 μB per cell